[1]
The following is a DFT calculation (PBE) of a geometry-optimized Rb2MgCd6 structure.

```
Rb2MgCd6
1.0
6.816 0.000 0.000
-3.408 5.903 0.000
0.000 0.000 6.945
Rb Mg Cd
2 1 6
Cartesian
0.000 3.935 0.953 Rb
3.408 1.968 5.992 Rb
0.000 0.000 0.000 Mg
0.000 2.078 4.582 Cd
-1.609 4.864 4.582 Cd
1.799 1.039 2.362 Cd
1.609 4.864 4.582 Cd
5.017 1.039 2.362 Cd
3.408 3.825 2.362 Cd
```

[2]
RbMg2Cd6 | the Alexandria database | PBE | relaxed; relative energy among the computed polymorphs = 0.00 eV/f.u.
1.0
7.919 -4.332 0.000
7.919 4.332 0.000
-0.761 0.000 3.426
Rb Mg Cd
1 2 6
Cartesian
0.000 0.000 0.000 Rb
4.955 0.000 2.916 Mg
10.122 0.000 0.509 Mg
4.842 2.759 1.100 Cd
7.539 1.404 1.713 Cd
10.236 2.759 2.326 Cd
4.842 -2.759 1.100 Cd
7.539 -1.404 1.713 Cd
10.236 -2.759 2.326 Cd

[3]
The following is a DFT calculation (PBE) of a geometry-optimized Rb3MgCd4 structure.

```
Rb3MgCd4
1.0
6.799 -3.575 0.000
6.799 3.575 0.000
-3.503 0.000 6.518
Rb Mg Cd
3 1 4
Cartesian
0.000 0.000 0.000 Rb
2.822 -1.785 2.718 Rb
7.273 -1.785 3.800 Rb
5.047 1.553 3.259 Mg
5.482 0.037 0.633 Cd
0.101 -1.597 5.533 Cd
4.613 0.037 5.886 Cd
9.994 -1.597 0.985 Cd
```

[4]
The following is a DFT calculation (PBE) of a geometry-optimized Rb3MgCd8 structure.

```
Rb3MgCd8
1.0
3.171 1.831 10.601
-3.171 1.831 10.601
0.000 -3.661 10.601
Rb Mg Cd
3 1 8
Cartesian
0.000 0.000 0.000 Rb
0.000 0.000 4.032 Rb
0.000 0.000 16.026 Rb
0.000 0.000 19.926 Mg
-1.614 -0.932 12.526 Cd
0.000 -1.843 7.444 Cd
-1.596 0.922 7.444 Cd
0.000 0.000 9.969 Cd
1.614 -0.932 12.526 Cd
0.000 1.863 12.526 Cd
1.596 0.922 7.444 Cd
0.000 0.000 25.891 Cd
```

[5]
RbMg2Cd6 | the Alexandria database | PBE | relaxed; relative energy among the computed polymorphs = 1.97 eV/f.u.
1.0
0.000 6.725 6.725
6.725 0.000 6.725
6.725 6.725 0.000
Rb Mg Cd
2 4 12
Cartesian
1.681 1.681 1.681 Rb
11.769 11.769 11.769 Rb
6.725 3.363 3.363 Mg
3.363 6.725 3.363 Mg
3.363 3.363 6.725 Mg
6.725 6.725 6.725 Mg
5.044 5.044 1.817 Cd
5.044 1.817 5.044 Cd
8.271 5.044 5.044 Cd
8.407 8.407 5.180 Cd
8.407 5.180 8.407 Cd
11.634 8.407 8.407 Cd
1.817 5.044 5.044 Cd
5.044 8.271 5.044 Cd
5.044 5.044 8.271 Cd
5.180 8.407 8.407 Cd
8.407 11.634 8.407 Cd
8.407 8.407 11.634 Cd

[6]
The following is a DFT calculation (PBE) of a geometry-optimized RbMg2Cd structure.

```
RbMg2Cd
1.0
1.807 1.043 11.663
-1.807 1.043 11.663
0.000 -2.087 11.663
Rb Mg Cd
1 2 1
Cartesian
0.000 0.000 0.000 Rb
0.000 0.000 3.644 Mg
0.000 0.000 31.344 Mg
0.000 0.000 17.494 Cd
```

[7]
RbMg14Cd | the Alexandria database | PBE | relaxed; relative energy among the computed polymorphs = 0.11 eV/f.u.
1.0
6.536 0.000 0.000
-3.268 5.660 0.000
0.000 0.000 10.791
Rb Mg Cd
1 14 1
Cartesian
0.000 0.000 0.000 Rb
-1.582 2.860 0.000 Mg
0.000 1.933 2.864 Mg
0.000 1.933 7.927 Mg
-1.594 4.694 2.864 Mg
-1.594 4.694 7.927 Mg
1.582 2.860 0.000 Mg
0.000 5.600 0.000 Mg
3.268 0.047 5.396 Mg
1.675 2.807 5.396 Mg
1.594 4.694 2.864 Mg
1.594 4.694 7.927 Mg
3.268 1.887 2.566 Mg
3.268 1.887 8.225 Mg
4.861 2.807 5.396 Mg
0.000 0.000 5.396 Cd

[8]
The following is a DFT calculation (PBE) of a geometry-optimized RbMg6Cd3 structure.

```
RbMg6Cd3
1.0
7.854 0.000 0.000
0.000 7.673 0.000
-4.797 0.000 8.686
Rb Mg Cd
2 12 6
Cartesian
0.000 0.000 0.000 Rb
-2.398 3.836 4.343 Rb
-2.136 0.260 5.869 Mg
0.262 3.576 1.526 Mg
-2.065 5.272 7.555 Mg
0.333 6.237 3.212 Mg
2.458 1.331 2.359 Mg
0.060 2.506 6.701 Mg
2.998 5.167 1.984 Mg
0.599 6.342 6.327 Mg
2.724 1.436 5.474 Mg
5.122 2.401 1.131 Mg
2.795 4.097 7.159 Mg
5.194 7.412 2.816 Mg
-0.177 1.304 3.762 Cd
-2.575 2.533 8.105 Cd
3.927 0.000 0.000 Cd
1.529 3.836 4.343 Cd
5.632 5.140 0.581 Cd
3.234 6.369 4.923 Cd
```

| no. | volume (A^3/atom) | M_tot (Bohr magnetons per cell) | ΔE_f (eV/atom) |
| --- | --- | --- | --- |
| 1 | 31.05 | 0.000 | -0.0167 |
| 2 | 26.12 | 0.000 | 0.0182 |
| 3 | 39.61 | 0.000 | -0.0070 |
| 4 | 30.77 | 0.000 | -0.0039 |
| 5 | 33.80 | 0.000 | 0.2373 |
| 6 | 32.98 | 0.000 | 0.2849 |
| 7 | 24.95 | 0.000 | 0.1170 |
| 8 | 26.17 | 0.000 | 0.0336 |